(1)
TlCdIr2 after structural relaxation, computed with GGA-PBE.

The value obtained for the formation energy is 0.532 eV/atom.

It has space group Cmmm (No. 65), with a = 3.0223 Å, b = 5.0986 Å, c = 9.3788 Å, α = 90.00°, β = 90.00° and γ = 90.00°. Symmetry generates all atoms from Tl at (0.0000, 0.0000, 0.0000), Cd at (0.0000, 0.0000, 0.5000) and Ir at (0.0000, 0.5000, 0.2522).

***

(2)
TlCdIr4 after structural relaxation, computed with GGA-PBE.

The value obtained for the formation energy is 0.440 eV/atom.

It has space group F-43m (No. 216), with a = 7.5196 Å, b = 7.5196 Å, c = 7.5196 Å, α = 90.00°, β = 90.00° and γ = 90.00°. Symmetry generates all atoms from Tl at (0.0000, 0.0000, 0.0000), Cd at (0.2500, 0.2500, 0.7500) and Ir at (0.1248, 0.1248, 0.3752).

***

(3)
TlCdIr2 after structural relaxation, computed with GGA-PBE.

The value obtained for the formation energy is 0.433 eV/atom.

It has space group P4/mmm (No. 123), with a = 3.2918 Å, b = 3.2918 Å, c = 6.5144 Å, α = 90.00°, β = 90.00° and γ = 90.00°. Symmetry generates all atoms from Tl at (0.0000, 0.0000, 0.0000), Cd at (0.0000, 0.0000, 0.5000) and Ir at (0.5000, 0.5000, 0.2501).

***

How do the records compare in theoretical density? In the order shown, they have 16.1; 17.0; 16.5 g/cm3.
How do the records compare in total moment? In the order shown, they have 0.000; 0.000; 0.000 μB/atom.
How do the records compare in VASP energy? In the order shown, they have -4.72; -6.01; -4.82 eV/atom.